Density functional theory data (PBE-GGA) for a relaxed Ga3CuSb crystal.

Calculated values
The theoretical density is 6.080 g/cm3. The energy relative to the lowest polymorph listed for this composition comes out at 0 meV per atom. The space group is Pm-3m, No. 221. The energy relative to the elements, uncorrected is 0.147 eV per atom. The density of states at the Fermi level is 0.57 states/eV/atom.

Lattice parameters (Å, degrees): 4.7584 4.7584 4.7584 90.00 90.00 90.00
With the nearest neighbours (Å) after each atom.
Fractional coordinates of all 5 atoms:
Sb  0.5000  0.5000  0.5000  12 Ga 3.36
Cu  0.0000  0.0000  0.0000  6 Ga 2.38
Ga  0.0000  0.5000  0.0000  2 Cu 2.38
Ga  0.0000  0.0000  0.5000  2 Cu 2.38
Ga  0.5000  0.0000  0.0000  2 Cu 2.38

Density functional theory data (PBE-GGA) for a relaxed NiOsRuPt2 crystal.

Calculated values
The theoretical density is 12.069 g/cm3. The space group is P4/mmm, No. 123. The density of states at the Fermi level is 1.78 states/eV/atom. Its formation energy is 835 kJ/mol of formula units.

Lattice parameters (Å, degrees): 4.7937 4.4315 4.7937 90.00 90.00 90.00
With the nearest neighbours (Å) after each atom.
Fractional coordinates of all 5 atoms:
Ru  0.5000  0.5000  0.5000  8 Pt 3.26, 4 Ni 3.39
Os  0.0000  0.0000  0.0000  2 Ni 2.22, 4 Pt 2.40
Pt  0.0000  0.0000  0.5000  2 Os 2.40
Pt  0.5000  0.0000  0.0000  2 Os 2.40
Ni  0.0000  0.5000  0.0000  2 Os 2.22

Density functional theory data (PBE-GGA) for a relaxed LiNd2RuC crystal.

Calculated values
The theoretical density is 6.305 g/cm3. The space group is P4/mmm, No. 123. The density of states at the Fermi level is 0.68 states/eV/atom. Its formation energy is -79 kJ/mol of formula units.

Lattice parameters (Å, degrees): 3.9299 5.2324 5.2324 90.00 90.00 90.00
With the nearest neighbours (Å) after each atom.
Fractional coordinates of all 5 atoms:
Li  0.5000  0.5000  0.5000  8 Nd 3.27
Nd  0.0000  0.0000  0.5000  2 C 2.62
Nd  0.0000  0.5000  0.0000  2 C 2.62
Ru  0.5000  0.0000  0.0000  2 C 1.96
C  0.0000  0.0000  0.0000  2 Ru 1.96

Density functional theory data (PBE-GGA) for a relaxed ZnReOs2 crystal.

Calculated values
The theoretical density is 18.101 g/cm3. The space group is P4/mmm, No. 123. The density of states at the Fermi level is 1.38 states/eV/atom. Its formation energy is 188 kJ/mol of formula units.

Lattice parameters (Å, degrees): 3.7343 3.9406 3.9406 90.00 90.00 90.00
With the nearest neighbours (Å) after each atom.
Fractional coordinates of all 4 atoms:
Os  0.0000  0.0000  0.0000  4 Re 2.71, 4 Zn 2.71, 4 Os 2.79
Os  0.0000  0.5000  0.5000  4 Zn 2.71, 4 Re 2.71, 4 Os 2.79
Re  0.5000  0.5000  0.0000  8 Os 2.71, 4 Zn 2.79
Zn  0.5000  0.0000  0.5000  8 Os 2.71, 4 Re 2.79

Density functional theory data (PBE-GGA) for a relaxed SrSiNi2 crystal.

Calculated values
The theoretical density is 5.044 g/cm3. The space group is R3m, No. 160. The energy relative to the elements, uncorrected is -0.407 eV per atom. The density of states at the Fermi level is 0.92 states/eV/atom.

Lattice parameters (Å, degrees): 5.9323 5.9323 5.9323 39.71 39.71 39.71
With the nearest neighbours (Å) after each atom.
Fractional coordinates of all 4 atoms:
Sr  0.7571  0.7571  0.7571  7 Ni 3.01-3.37, 4 Si 3.07-3.34
Si  0.5698  0.5698  0.5698  6 Ni 2.33-2.41
Ni  0.9412  0.9412  0.9412  3 Si 2.41, 3 Ni 2.43
Ni  0.2319  0.2319  0.2319  3 Si 2.33, 3 Ni 2.43

Density functional theory data (PBE-GGA) for a relaxed BC2 crystal.

Calculated values
The theoretical density is 3.031 g/cm3. The energy relative to the lowest polymorph listed for this composition comes out at 82 meV per atom. The space group is Pm, No. 6. The density of states at the Fermi level is 0.11 states/eV/atom. Its formation energy is 93 kJ/mol of formula units.

Lattice parameters (Å, degrees): 2.5591 4.4530 6.6990 90.14 90.00 90.00
With the nearest neighbours (Å) after each atom.
Fractional coordinates of all 12 atoms:
B  0.5000  0.8274  0.3675  1 C 1.58
B  0.5000  0.4504  0.2243  3 C 1.55-1.61
B  0.0000  0.3456  0.5805  4 C 1.59-1.68
B  0.0000  0.0322  0.2270  2 C 1.60-1.70
C  0.5000  0.4961  0.9866  3 C 1.56-1.58, 1 B 1.61
C  0.5000  0.1627  0.9044  4 C 1.51-1.58
C  0.0000  0.6706  0.6829  3 C 1.54-1.56, 1 B 1.60
C  0.0000  0.3726  0.3436  4 B 1.55-1.70
C  0.0000  0.0001  0.9883  3 C 1.57-1.58, 1 B 1.60
C  0.0000  0.6640  0.9134  4 C 1.54-1.58
C  0.5000  0.1493  0.6787  2 C 1.51, 2 B 1.68
C  0.5000  0.8291  0.6029  3 C 1.51-1.56, 1 B 1.58

Density functional theory data (PBE-GGA) for a relaxed ScCd2Ag8 crystal.

Calculated values
The theoretical density is 8.652 g/cm3. The energy relative to the lowest polymorph listed for this composition comes out at 120 meV per atom. The space group is C2/m, No. 12. The density of states at the Fermi level is 0.43 states/eV/atom. Its formation energy is 34 kJ/mol of formula units.

Lattice parameters (Å, degrees): 5.0390 7.7369 7.7369 119.59 106.35 106.35
With the nearest neighbours (Å) after each atom.
Fractional coordinates of all 11 atoms:
Sc  0.5000  0.0000  0.0000  8 Ag 2.83-3.11
Cd  0.0000  0.3101  0.6899  8 Ag 2.84-2.93
Cd  0.0000  0.6899  0.3101  8 Ag 2.84-2.93
Ag  0.8568  0.9064  0.6742  5 Ag 2.73-3.02, 2 Cd 2.90-2.93
Ag  0.8568  0.6742  0.9064  5 Ag 2.73-3.02, 2 Cd 2.90-2.93
Ag  0.3104  0.5760  0.5760  6 Ag 2.65-2.93, 2 Cd 2.87, 1 Sc 2.88
Ag  0.5000  0.7882  0.2118  1 Sc 2.83, 2 Cd 2.84, 4 Ag 2.98-3.02
Ag  0.5000  0.2118  0.7882  1 Sc 2.83, 2 Cd 2.84, 4 Ag 2.98-3.02
Ag  0.6896  0.4240  0.4240  6 Ag 2.65-2.93, 2 Cd 2.87, 1 Sc 2.88
Ag  0.1432  0.3258  0.0936  5 Ag 2.73-3.02, 2 Cd 2.90-2.93
Ag  0.1432  0.0936  0.3258  5 Ag 2.73-3.02, 2 Cd 2.90-2.93

Density functional theory data (PBE-GGA) for a relaxed AcTb2Se4 crystal.

Calculated values
The theoretical density is 7.188 g/cm3. The space group is Cmcm, No. 63. The energy relative to the elements, uncorrected is -1.925 eV per atom. The density of states at the Fermi level is 0.27 states/eV/atom.

Lattice parameters (Å, degrees): 4.1741 7.0944 14.0507 90.00 90.00 107.11
With the nearest neighbours (Å) after each atom.
Fractional coordinates of all 14 atoms:
Ac  0.6202  0.2405  0.7500  6 Se 3.10-3.16
Ac  0.3798  0.7595  0.2500  6 Se 3.10-3.16
Tb  0.1292  0.2585  0.4364  6 Se 2.84-2.93
Tb  0.8708  0.7415  0.9364  6 Se 2.84-2.93
Tb  0.1292  0.2585  0.0636  6 Se 2.84-2.93
Tb  0.8708  0.7415  0.5636  6 Se 2.84-2.93
Se  0.7704  0.5407  0.1181  3 Tb 2.89-2.93, 2 Ac 3.16
Se  0.7704  0.5407  0.3819  3 Tb 2.89-2.93, 2 Ac 3.16
Se  0.2296  0.4593  0.8819  3 Tb 2.89-2.93, 2 Ac 3.16
Se  0.2296  0.4593  0.6181  3 Tb 2.89-2.93, 2 Ac 3.16
Se  0.9510  0.9020  0.7500  2 Tb 2.84, 2 Ac 3.10
Se  0.0490  0.0980  0.2500  2 Tb 2.84, 2 Ac 3.10
Se  0.5000  0.0000  0.0000  4 Tb 2.87
Se  0.5000  0.0000  0.5000  4 Tb 2.87